Record 1
The following is a DFT calculation (PBE-GGA) of BaAcAu3 after structural relaxation.

Output
Density of states at the Fermi level, states/eV/f.u.: 2.61
Energy, eV per cell: -39.57
SG: No. 63

abc: 15.053 15.053 4.732
angles: 90.00 90.00 163.52
Positions (direct):
Ba 0.071 0.929 0.750
Ba 0.929 0.071 0.250
Ac 0.201 0.799 0.250
Ac 0.799 0.201 0.750
Au 0.313 0.687 0.250
Au 0.379 0.621 0.750
Au 0.474 0.526 0.750
Au 0.526 0.474 0.250
Au 0.621 0.379 0.250
Au 0.687 0.313 0.750

Record 2
The following is a DFT calculation (PBE-GGA) of CrTeRu2 after structural relaxation.

Output
Formation energy without anion corrections, eV per formula unit: 1.27
Density of states at the Fermi level, states/eV/f.u.: 5.01
Energy, eV per cell: -30.04
SG: No. 123

abc: 3.173 3.173 6.294
angles: 90.00 90.00 90.00
Positions (direct):
Cr 0.000 0.000 0.000
Te 0.000 0.000 0.500
Ru 0.500 0.500 0.223
Ru 0.500 0.500 0.777

Record 3
The following is a DFT calculation (PBE-GGA) of Sr2CuNi2 after structural relaxation.

Output
Density of states at the Fermi level, states/eV/f.u.: 3.17
Energy, eV per cell: -18.05
SG: No. 139

abc: 5.413 5.413 5.413
angles: 116.15 116.15 96.81
Positions (direct):
Sr 0.250 0.750 0.500
Sr 0.750 0.250 0.500
Cu 0.000 0.000 0.000
Ni 0.338 0.338 0.000
Ni 0.662 0.662 0.000

- Look up the density of states at the Fermi level of the first one.
  2.61 states/eV/f.u.